First-principles (PBE) data for crystalline K5Sb4 at its relaxed geometry, as listed in the Alexandria database.

The structure in POSCAR format:
```
K5Sb4
1.0
6.846 0.009 -0.018
4.613 5.059 -0.018
3.851 1.703 10.593
Sb K
4 5
direct
0.605 0.605 0.392
0.395 0.395 0.608
0.544 0.544 0.176
0.456 0.456 0.824
0.755 0.755 0.834
0.000 0.000 0.000
0.900 0.900 0.391
0.100 0.100 0.609
0.245 0.245 0.166
```

Summary:
Energy: -2.884 eV per atom
Excess energy over the best structure of this formula in the dataset: 0 meV/atom
M_tot: 0.000 μB/f.u.


First-principles (PBE) data for crystalline KSb4 at its relaxed geometry, as listed in the Alexandria database.

The structure in POSCAR format:
```
KSb4
1.0
1.868 -2.784 5.053
1.854 5.773 0.069
-6.055 -0.175 -0.283
Sb K
4 1
direct
0.500 0.500 0.500
0.500 0.000 0.000
0.000 0.500 0.000
0.000 0.000 0.500
0.000 0.000 0.000
```

Summary:
Energy: -3.000 eV per atom
Excess energy over the best structure of this formula in the dataset: 624 meV/atom
M_tot: 0.000 μB/f.u.


First-principles (PBE) data for crystalline KSb3 at its relaxed geometry, as listed in the Alexandria database.

The structure in POSCAR format:
```
KSb3
1.0
-1.584 -3.223 0.928
2.498 -1.818 -2.053
5.566 -0.627 7.328
K Sb
1 3
direct
0.000 0.000 0.000
0.000 0.000 0.500
0.500 0.500 0.706
0.500 0.500 0.294
```

Summary:
Energy: -3.312 eV per atom
Excess energy over the best structure of this formula in the dataset: 197 meV/atom
M_tot: 0.000 μB/f.u.


First-principles (PBE) data for crystalline KSb3 at its relaxed geometry, as listed in the Alexandria database.

The structure in POSCAR format:
```
KSb3
1.0
6.446 -0.196 0.000
-2.710 5.852 0.000
0.000 0.000 3.182
Sb K
3 1
direct
0.500 0.500 0.000
0.500 0.000 0.500
0.000 0.500 0.500
0.000 0.000 0.000
```

Summary:
Energy: -3.347 eV per atom
Excess energy over the best structure of this formula in the dataset: 162 meV/atom
M_tot: 0.000 μB/f.u.


First-principles (PBE) data for crystalline KSb6 at its relaxed geometry, as listed in the Alexandria database.

The structure in POSCAR format:
```
KSb6
1.0
7.378 0.000 0.000
-2.459 6.956 0.000
-2.459 -3.478 6.024
Sb K
6 1
direct
0.250 0.500 0.750
0.500 0.250 0.750
0.750 0.250 0.500
0.750 0.500 0.250
0.500 0.750 0.250
0.250 0.750 0.500
0.000 0.000 0.000
```

Summary:
Energy: -3.560 eV per atom
M_tot: 0.000 μB/f.u.


First-principles (PBE) data for crystalline KSb3 at its relaxed geometry, as listed in the Alexandria database.

The structure in POSCAR format:
```
KSb3
1.0
-0.471 2.783 3.009
-5.571 -0.765 -0.165
0.482 -4.408 4.152
K Sb
1 3
direct
0.000 0.000 0.007
0.000 0.500 0.411
0.500 0.000 0.508
0.500 0.500 0.740
```

Summary:
Energy: -3.449 eV per atom
Excess energy over the best structure of this formula in the dataset: 60 meV/atom
M_tot: 0.000 μB/f.u.


First-principles (PBE) data for crystalline KSb3 at its relaxed geometry, as listed in the Alexandria database.

The structure in POSCAR format:
```
KSb3
1.0
3.615 -6.261 0.000
3.615 6.261 0.000
0.000 0.000 5.874
Sb K
6 2
direct
0.140 0.279 0.750
0.279 0.140 0.250
0.860 0.140 0.250
0.140 0.860 0.750
0.721 0.860 0.750
0.860 0.721 0.250
0.667 0.333 0.750
0.333 0.667 0.250
```

Summary:
Energy: -3.414 eV per atom
Excess energy over the best structure of this formula in the dataset: 95 meV/atom
M_tot: 0.000 μB/f.u.


First-principles (PBE) data for crystalline KSc2Sb2 at its relaxed geometry, as listed in the Alexandria database.

The structure in POSCAR format:
```
KSc2Sb2
1.0
4.851 0.000 0.000
0.000 4.851 0.000
2.426 2.426 7.155
Sc K Sb
2 1 2
direct
0.750 0.250 0.500
0.250 0.750 0.500
0.000 0.000 0.000
0.639 0.639 0.722
0.361 0.361 0.278
```

Summary:
Energy: -5.070 eV per atom
Excess energy over the best structure of this formula in the dataset: 0 meV/atom
M_tot: 0.916 μB/f.u.


First-principles (PBE) data for crystalline KScSb3 at its relaxed geometry, as listed in the Alexandria database.

The structure in POSCAR format:
```
KScSb3
1.0
5.570 0.000 0.000
0.000 5.570 0.000
0.000 0.000 5.570
K Sb Sc
1 3 1
direct
0.500 0.500 0.500
0.000 0.000 0.500
0.500 0.000 0.000
0.000 0.500 0.000
0.000 0.000 0.000
```

Summary:
Energy: -4.195 eV per atom
Excess energy over the best structure of this formula in the dataset: 0 meV/atom
M_tot: 0.000 μB/f.u.


First-principles (PBE) data for crystalline K2ScSb at its relaxed geometry, as listed in the Alexandria database.

The structure in POSCAR format:
```
K2ScSb
1.0
6.098 0.000 0.000
0.000 3.798 -0.024
0.000 2.278 5.935
Sc K Sb
1 2 1
direct
0.500 0.750 0.750
0.000 0.435 0.482
0.000 0.065 0.018
0.500 0.250 0.250
```

Summary:
Energy: -3.047 eV per atom
M_tot: 0.239 μB/f.u.


First-principles (PBE) data for crystalline K3ScSb at its relaxed geometry, as listed in the Alexandria database.

The structure in POSCAR format:
```
K3ScSb
1.0
6.508 0.000 0.000
0.000 6.508 0.000
0.000 0.000 6.508
K Sb Sc
3 1 1
direct
0.000 0.500 0.000
0.500 0.000 0.000
0.000 0.000 0.500
0.500 0.500 0.500
0.000 0.000 0.000
```

Summary:
Energy: -1.864 eV per atom
Excess energy over the best structure of this formula in the dataset: 439 meV/atom
M_tot: 1.000 μB/f.u.


First-principles (PBE) data for crystalline K3ScSb at its relaxed geometry, as listed in the Alexandria database.

The structure in POSCAR format:
```
K3ScSb
1.0
6.703 0.000 0.000
0.000 6.703 0.000
0.000 0.000 6.703
K Sc Sb
3 1 1
direct
0.000 0.000 0.500
0.500 0.000 0.000
0.000 0.500 0.000
0.500 0.500 0.500
0.000 0.000 0.000
```

Summary:
Energy: -2.304 eV per atom
Excess energy over the best structure of this formula in the dataset: 0 meV/atom
M_tot: 1.000 μB/f.u.


First-principles (PBE) data for crystalline K2ScSb at its relaxed geometry, as listed in the Alexandria database.

The structure in POSCAR format:
```
K2ScSb
1.0
3.374 0.001 0.000
-0.006 3.374 0.000
0.000 0.000 12.292
K Sb Sc
2 1 1
direct
0.000 0.000 0.467
0.000 0.000 0.033
0.500 0.500 0.250
0.500 0.500 0.750
```

Summary:
Energy: -2.934 eV per atom
M_tot: 0.666 μB/f.u.


First-principles (PBE) data for crystalline K4ScSb at its relaxed geometry, as listed in the Alexandria database.

The structure in POSCAR format:
```
K4ScSb
1.0
0.767 -3.208 6.290
0.177 3.862 5.958
-5.447 -0.241 4.551
K Sb Sc
4 1 1
direct
0.377 0.377 0.377
0.377 0.377 0.869
0.377 0.869 0.377
0.869 0.377 0.377
0.750 0.750 0.750
0.000 0.000 0.000
```

Summary:
Energy: -1.974 eV per atom
M_tot: 1.064 μB/f.u.


First-principles (PBE) data for crystalline K2ScSb at its relaxed geometry, as listed in the Alexandria database.

The structure in POSCAR format:
```
K2ScSb
1.0
4.526 0.000 0.000
0.000 4.526 0.000
2.263 2.263 13.184
Sb K Sc
2 4 2
direct
0.000 0.000 0.000
0.750 0.250 0.500
0.109 0.625 0.250
0.875 0.891 0.750
0.375 0.359 0.750
0.641 0.125 0.250
0.500 0.500 0.000
0.250 0.750 0.500
```

Summary:
Energy: -3.065 eV per atom
M_tot: 1.475 μB/f.u.


First-principles (PBE) data for crystalline K2ScSb at its relaxed geometry, as listed in the Alexandria database.

The structure in POSCAR format:
```
K2ScSb
1.0
-2.479 10.983 6.330
-5.762 9.568 6.488
-3.318 8.698 8.954
K Sc Sb
2 1 1
direct
0.991 0.991 0.991
0.509 0.509 0.509
0.750 0.750 0.750
0.250 0.250 0.250
```

Summary:
Energy: -2.870 eV per atom
M_tot: 0.845 μB/f.u.


First-principles (PBE) data for crystalline KSc2Sb2 at its relaxed geometry, as listed in the Alexandria database.

The structure in POSCAR format:
```
KSc2Sb2
1.0
-4.376 -0.455 -7.469
-5.441 -5.747 3.538
-2.090 2.634 1.064
K Sc Sb
2 4 4
direct
0.500 0.500 0.000
0.000 0.000 0.000
0.124 0.376 0.000
0.876 0.624 0.000
0.376 0.876 0.000
0.624 0.124 0.000
0.165 0.665 0.500
0.665 0.835 0.500
0.335 0.165 0.500
0.835 0.335 0.500
```

Summary:
Energy: -4.952 eV per atom
Excess energy over the best structure of this formula in the dataset: 118 meV/atom
M_tot: 1.038 μB/f.u.


First-principles (PBE) data for crystalline K2ScSb at its relaxed geometry, as listed in the Alexandria database.

The structure in POSCAR format:
```
K2ScSb
1.0
-0.124 -3.774 -5.796
-4.350 -0.533 5.352
-2.825 1.688 -1.562
K Sc Sb
2 1 1
direct
0.000 0.000 0.000
0.500 0.500 0.000
0.000 0.500 0.500
0.500 0.000 0.500
```

Summary:
Energy: -3.021 eV per atom
M_tot: 1.673 μB/f.u.


First-principles (PBE) data for crystalline K2ScSb at its relaxed geometry, as listed in the Alexandria database.

The structure in POSCAR format:
```
K2ScSb
1.0
-2.690 -0.640 4.038
-1.808 -4.422 1.063
6.279 -3.698 6.561
Sb K Sc
1 2 1
direct
0.534 0.534 0.397
0.779 0.779 0.662
0.975 0.975 0.077
0.212 0.212 0.363
```

Summary:
Energy: -3.379 eV per atom
M_tot: 0.905 μB/f.u.


First-principles (PBE) data for crystalline KSc2Sb2 at its relaxed geometry, as listed in the Alexandria database.

The structure in POSCAR format:
```
KSc2Sb2
1.0
5.569 0.000 0.000
0.000 5.569 0.000
2.785 2.785 5.419
Sc Sb K
2 2 1
direct
0.676 0.676 0.648
0.324 0.324 0.352
0.750 0.250 0.500
0.250 0.750 0.500
0.000 0.000 0.000
```

Summary:
Energy: -4.826 eV per atom
Excess energy over the best structure of this formula in the dataset: 244 meV/atom
M_tot: 0.997 μB/f.u.


First-principles (PBE) data for crystalline KScSb3 at its relaxed geometry, as listed in the Alexandria database.

The structure in POSCAR format:
```
KScSb3
1.0
-3.299 3.372 -3.056
2.890 -1.364 -4.625
-3.516 -4.286 -0.933
K Sb Sc
1 3 1
direct
0.000 0.000 0.000
0.000 0.000 0.500
0.500 0.000 0.000
0.000 0.500 0.000
0.500 0.500 0.500
```

Summary:
Energy: -2.868 eV per atom
Excess energy over the best structure of this formula in the dataset: 1327 meV/atom
M_tot: 0.000 μB/f.u.


First-principles (PBE) data for crystalline K2ScSb at its relaxed geometry, as listed in the Alexandria database.

The structure in POSCAR format:
```
K2ScSb
1.0
-10.648 -0.558 1.722
-9.282 -0.756 5.472
-0.976 4.112 0.573
K Sc Sb
2 1 1
direct
0.407 0.407 0.593
0.093 0.093 0.907
0.250 0.250 0.250
0.750 0.750 0.750
```

Summary:
Energy: -3.430 eV per atom
M_tot: 0.720 μB/f.u.


First-principles (PBE) data for crystalline K2ScSb at its relaxed geometry, as listed in the Alexandria database.

The structure in POSCAR format:
```
K2ScSb
1.0
-3.570 -0.107 4.386
-1.999 -4.990 -1.759
5.546 0.666 0.889
K Sc Sb
2 1 1
direct
0.000 0.000 0.000
0.250 0.750 0.500
0.750 0.250 0.500
0.500 0.500 0.000
```

Summary:
Energy: -3.073 eV per atom
M_tot: 1.989 μB/f.u.


First-principles (PBE) data for crystalline K2ScSb at its relaxed geometry, as listed in the Alexandria database.

The structure in POSCAR format:
```
K2ScSb
1.0
4.620 0.000 0.000
0.000 4.620 0.000
0.000 0.000 6.028
Sc K Sb
1 2 1
direct
0.000 0.500 0.500
0.000 0.000 0.000
0.500 0.500 0.000
0.500 0.000 0.500
```

Summary:
Energy: -3.196 eV per atom
M_tot: 0.002 μB/f.u.


First-principles (PBE) data for crystalline K2ScSb at its relaxed geometry, as listed in the Alexandria database.

The structure in POSCAR format:
```
K2ScSb
1.0
4.092 0.000 0.000
0.000 4.132 -0.163
0.000 2.580 10.454
K Sb Sc
2 1 1
direct
0.500 0.409 0.313
0.000 0.089 0.944
0.000 0.259 0.606
0.500 0.743 0.637
```

Summary:
Energy: -3.436 eV per atom
M_tot: 0.725 μB/f.u.


First-principles (PBE) data for crystalline K2ScSb at its relaxed geometry, as listed in the Alexandria database.

The structure in POSCAR format:
```
K2ScSb
1.0
7.377 -0.019 0.007
3.552 6.466 -0.007
-4.825 -4.308 3.548
K Sc Sb
2 1 1
direct
0.009 0.009 0.000
0.701 0.201 0.500
0.326 0.826 0.500
0.464 0.464 0.000
```

Summary:
Energy: -3.236 eV per atom
M_tot: 1.250 μB/f.u.


First-principles (PBE) data for crystalline K2ScSb at its relaxed geometry, as listed in the Alexandria database.

The structure in POSCAR format:
```
K2ScSb
1.0
3.710 0.000 0.000
0.000 5.841 0.000
0.000 0.000 6.323
Sb K Sc
1 2 1
direct
0.500 0.500 0.250
0.000 0.000 0.486
0.000 0.000 0.014
0.500 0.500 0.750
```

Summary:
Energy: -3.046 eV per atom
M_tot: 1.120 μB/f.u.


First-principles (PBE) data for crystalline K2ScSb at its relaxed geometry, as listed in the Alexandria database.

The structure in POSCAR format:
```
K2ScSb
1.0
4.051 0.000 0.000
0.000 4.051 0.000
0.000 0.000 10.507
K Sc Sb
2 1 1
direct
0.000 0.000 0.943
0.500 0.500 0.316
0.500 0.500 0.650
0.000 0.000 0.591
```

Summary:
Energy: -3.422 eV per atom
M_tot: 0.770 μB/f.u.


First-principles (PBE) data for crystalline K2ScSb at its relaxed geometry, as listed in the Alexandria database.

The structure in POSCAR format:
```
K2ScSb
1.0
6.805 0.008 0.000
-3.894 5.580 0.000
0.000 0.000 3.588
Sc K Sb
1 2 1
direct
0.000 0.500 0.500
0.500 0.500 0.000
0.000 0.000 0.000
0.500 0.000 0.500
```

Summary:
Energy: -3.018 eV per atom
M_tot: 1.775 μB/f.u.